No. 1
HfTcW2, relaxed, DFT PBE-GGA; spin magnetization = 0.0 μB/f.u.; VASP energy = -46.9 eV per formula unit; offset from the most stable computed form = 0.0 kJ per mole of atoms
1.0
-1.1203 -1.3831 2.6609
-0.9389 -3.7189 -2.3284
5.2892 0.8915 0.7645
Hf Tc W
1 1 2
direct
0.0000 0.5000 0.0000 Hf
0.5000 0.0000 0.0000 Tc
0.7583 0.7582 0.5167 W
0.2417 0.2418 0.4834 W

No. 2
Cr2OsCl, relaxed, DFT PBE-GGA; spin magnetization = 0.9 μB/f.u.; VASP energy = -28.4 eV per formula unit; formation energy from raw total energies = 981.9 meV per atom; offset from the most stable computed form = 78.4 kJ per mole of atoms
1.0
2.5695 1.7738 2.8854
-0.2008 4.1816 0.7401
-1.5950 1.4349 3.6703
Cr Os Cl
2 1 1
direct
0.2500 0.2500 0.2500 Cr
0.7500 0.7500 0.7500 Cr
0.5000 0.5000 0.5000 Os
0.0000 0.0000 0.0000 Cl

No. 3
Co2ReTc, relaxed, DFT PBE-GGA; spin magnetization = 1.8 μB/f.u.; VASP energy = -36.4 eV per formula unit; offset from the most stable computed form = 20.4 kJ per mole of atoms
1.0
4.5211 -0.0007 0.0004
3.7445 2.5336 0.0004
0.7744 0.2373 4.5046
Co Re Tc
2 1 1
direct
0.0004 0.0004 0.9978 Co
0.4996 0.4996 0.5022 Co
0.7500 0.7500 0.7500 Re
0.2500 0.2500 0.2500 Tc

No. 4
Cd2MoP, relaxed, DFT PBE-GGA; spin magnetization = 0.0 μB/f.u.; VASP energy = -15.8 eV per formula unit
1.0
-6.4609 -6.7138 -2.0929
-5.3323 -7.9106 0.4314
-7.5249 -5.8503 0.5904
Cd Mo P
2 1 1
direct
0.7494 0.7494 0.7494 Cd
0.2506 0.2506 0.2506 Cd
0.5000 0.5000 0.5000 Mo
0.0000 0.0000 0.0000 P

- Which value of spin magnetization does entry 2 give?
  0.9 μB/f.u.

- Look up the VASP energy of the first one.
  -46.9 eV per formula unit

- The lowest VASP energy belongs to which entry?
  HfTcW2

- What is the VASP energy in the third record?
  -36.4 eV per formula unit